(1)
An optimized crystal structure of NaSr3Sn2. Source: Alexandria via LeMat-Bulk, functional PBE-GGA.

The structure belongs to space group Cmmm (No. 65); the cell edges are 5.868, 18.142 and 3.960 Å and the angles 90.00°, 90.00° and 90.00°. The distinct sites, in fractional coordinates, are Na at (0.000, 0.000, 0.000), Sr at (0.000, 0.182, 0.500), Sr at (0.000, 0.500, 0.500) and Sn at (0.000, 0.348, 0.000).

The value obtained for the total energy is -2.845 eV per atom. For the total magnetization, the calculation gives 0.000 μB/atom. Its formation energy is -0.450 eV/atom.

---

(2)
An optimized crystal structure of VCuNi2H. Source: Alexandria via LeMat-Bulk, functional PBE-GGA.

The structure belongs to space group P4/mmm (No. 123); the cell edges are 3.678, 3.678 and 3.714 Å and the angles 90.00°, 90.00° and 90.00°. The distinct sites, in fractional coordinates, are V at (0.000, 0.000, 0.000), Cu at (0.500, 0.500, 0.000), Ni at (0.000, 0.500, 0.500) and H at (0.500, 0.500, 0.500).

The value obtained for the total energy is -5.523 eV per atom. For the total magnetization, the calculation gives 0.573 μB/atom. The value obtained for the energy above the lowest structure with this stoichiometry is 81 meV per atom.

---

(3)
An optimized crystal structure of Sc2TiFe2. Source: Alexandria via LeMat-Bulk, functional PBE-GGA.

The structure belongs to space group P4/mbm (No. 127); the cell edges are 6.314, 6.314 and 4.155 Å and the angles 90.00°, 90.00° and 90.00°. The distinct sites, in fractional coordinates, are Sc at (0.178, 0.322, 0.000), Ti at (0.000, 0.000, 0.500) and Fe at (0.122, 0.622, 0.500).

The value obtained for the total energy is -7.590 eV per atom. For the total magnetization, the calculation gives 0.044 μB/atom. Its formation energy is -0.093 eV/atom. The value obtained for the energy above the lowest structure with this stoichiometry is 0 meV per atom.

---

(4)
An optimized crystal structure of ScAl3Pd2. Source: Alexandria via LeMat-Bulk, functional PBE-GGA.

The structure belongs to space group C2/m (No. 12); the cell edges are 17.222, 4.234 and 9.371 Å and the angles 90.00°, 115.70° and 90.00°. The distinct sites, in fractional coordinates, are Sc at (0.000, 0.000, 0.000), Sc at (0.160, 0.000, 0.700), Al at (0.000, 0.500, 0.500), Al at (0.033, 0.000, 0.351), Al at (0.122, 0.500, 0.174), Al at (0.192, 0.500, 0.961), Al at (0.207, 0.000, 0.393), Pd at (0.033, 0.500, 0.818), Pd at (0.133, 0.500, 0.453) and Pd at (0.184, 0.000, 0.110).

The value obtained for the total energy is -5.371 eV per atom. For the total magnetization, the calculation gives 0.000 μB/atom. Its formation energy is -0.713 eV/atom.

---

(5)
An optimized crystal structure of CeNbAs2Ru. Source: Alexandria via LeMat-Bulk, functional PBE-GGA.

The structure belongs to space group I-4m2 (No. 119); the cell edges are 3.935, 3.935 and 12.789 Å and the angles 90.00°, 90.00° and 90.00°. The distinct sites, in fractional coordinates, are Ce at (0.000, 0.000, 0.000), Nb at (0.000, 0.500, 0.750), As at (0.000, 0.000, 0.383) and Ru at (0.000, 0.500, 0.250).

The value obtained for the total energy is -7.578 eV per atom. For the total magnetization, the calculation gives 0.134 μB/atom. Its formation energy is -0.662 eV/atom.

---

(6)
An optimized crystal structure of AlTlRu2. Source: Alexandria via LeMat-Bulk, functional PBE-GGA.

The structure belongs to space group Pmmm (No. 47); the cell edges are 3.094, 4.322 and 4.948 Å and the angles 90.00°, 90.00° and 90.00°. The distinct sites, in fractional coordinates, are Al at (0.000, 0.000, 0.000), Tl at (0.500, 0.000, 0.500), Ru at (0.000, 0.500, 0.500) and Ru at (0.500, 0.500, 0.000).

The value obtained for the total energy is -5.806 eV per atom. For the total magnetization, the calculation gives 0.000 μB/atom. Its formation energy is 0.359 eV/atom. The value obtained for the energy above the lowest structure with this stoichiometry is 317 meV per atom.

---

(7)
An optimized crystal structure of PrNiAs. Source: Alexandria via LeMat-Bulk, functional PBE-GGA.

The structure belongs to space group P-6m2 (No. 187); the cell edges are 4.1420, 4.1420 and 4.0978 Å and the angles 90.00°, 90.00° and 120.00°. The distinct sites, in fractional coordinates, are Pr at (0.0000, 0.0000, 0.0000), Ni at (0.6667, 0.3333, 0.5000) and As at (0.3333, 0.6667, 0.5000).

The value obtained for the total energy is -6.084 eV per atom. For the total magnetization, the calculation gives 0.000 μB/atom. Its formation energy is -1.014 eV/atom.

---

(8)
An optimized crystal structure of In3Cu5Cl12. Source: Alexandria via LeMat-Bulk, functional PBE-GGA.

The structure belongs to space group Ia-3d (No. 230); the cell edges are 15.474, 15.474 and 15.474 Å and the angles 90.00°, 90.00° and 90.00°. The distinct sites, in fractional coordinates, are In at (0.000, 0.250, 0.125), Cu at (0.000, 0.000, 0.000), Cu at (0.000, 0.250, 0.375) and Cl at (0.029, 0.054, 0.651).

The value obtained for the total energy is -3.145 eV per atom. For the total magnetization, the calculation gives 0.029 μB/atom. The value obtained for the raw formation energy is -602 meV per atom.